## 1
Here is a geometry-optimized SmHo3Sc6 structure from Alexandria. Energies are from GGA-PBE.

Geometry as POSCAR:
```
SmHo3Sc6
1.0
5.238 -8.952 0.000
5.238 8.952 0.000
0.000 0.000 5.862
Sm Ho Sc
2 6 12
direct
0.213 0.787 0.500 Sm
0.787 0.213 0.000 Sm
0.073 0.282 0.704 Ho
0.282 0.073 0.204 Ho
0.397 0.603 0.608 Ho
0.603 0.397 0.108 Ho
0.718 0.927 0.704 Ho
0.927 0.718 0.204 Ho
0.022 0.453 0.311 Sc
0.049 0.951 0.743 Sc
0.278 0.385 0.157 Sc
0.293 0.707 0.039 Sc
0.385 0.278 0.657 Sc
0.453 0.022 0.811 Sc
0.547 0.978 0.311 Sc
0.615 0.722 0.157 Sc
0.707 0.293 0.539 Sc
0.722 0.615 0.657 Sc
0.951 0.049 0.243 Sc
0.978 0.547 0.811 Sc
```


## 2
Here is a geometry-optimized SmHo3Sc6 structure from Alexandria. Energies are from GGA-PBE.

Geometry as POSCAR:
```
SmHo3Sc6
1.0
4.631 2.674 3.756
-4.631 2.674 3.756
0.000 -5.347 3.756
Sm Ho Sc
1 3 6
direct
0.000 0.000 0.000 Sm
0.251 0.251 0.251 Ho
0.500 0.500 0.500 Ho
0.749 0.749 0.749 Ho
0.169 0.830 0.499 Sc
0.332 0.666 0.999 Sc
0.499 0.169 0.830 Sc
0.666 0.999 0.332 Sc
0.830 0.499 0.169 Sc
0.999 0.332 0.666 Sc
```


Stability summary - winner: 1; margin: 23.8 kJ/mol of atoms.


## 1
Here is a geometry-optimized SmHo5Sc2 structure from Alexandria. Energies are from GGA-PBE.

Geometry as POSCAR:
```
SmHo5Sc2
1.0
-4.377 4.377 6.242
4.377 -4.377 6.242
4.377 4.377 -6.242
Sm Ho Sc
2 10 4
direct
0.250 0.250 0.000 Sm
0.750 0.750 0.000 Sm
0.000 0.000 0.000 Ho
0.006 0.506 0.198 Ho
0.192 0.994 0.500 Ho
0.308 0.808 0.802 Ho
0.494 0.692 0.500 Ho
0.500 0.500 0.000 Ho
0.506 0.308 0.500 Ho
0.692 0.192 0.198 Ho
0.808 0.006 0.500 Ho
0.994 0.494 0.802 Ho
0.142 0.358 0.500 Sc
0.358 0.858 0.215 Sc
0.642 0.142 0.785 Sc
0.858 0.642 0.500 Sc
```


## 2
Here is a geometry-optimized SmHo5Sc2 structure from Alexandria. Energies are from GGA-PBE.

Geometry as POSCAR:
```
SmHo5Sc2
1.0
11.226 0.000 0.000
0.000 12.061 0.000
0.000 0.000 6.994
Sm Ho Sc
4 20 8
direct
0.247 0.080 0.000 Sm
0.253 0.580 0.000 Sm
0.747 0.420 0.000 Sm
0.753 0.920 0.000 Sm
0.000 0.500 0.254 Ho
0.000 0.500 0.746 Ho
0.001 0.246 0.500 Ho
0.001 0.247 0.000 Ho
0.249 0.833 0.254 Ho
0.249 0.833 0.746 Ho
0.251 0.333 0.254 Ho
0.251 0.333 0.746 Ho
0.499 0.746 0.500 Ho
0.499 0.747 0.000 Ho
0.500 0.000 0.254 Ho
0.500 0.000 0.746 Ho
0.501 0.253 0.000 Ho
0.501 0.254 0.500 Ho
0.749 0.667 0.254 Ho
0.749 0.667 0.746 Ho
0.751 0.167 0.254 Ho
0.751 0.167 0.746 Ho
0.999 0.753 0.000 Ho
0.999 0.754 0.500 Ho
0.000 0.000 0.256 Sc
0.000 0.000 0.744 Sc
0.246 0.084 0.500 Sc
0.254 0.584 0.500 Sc
0.500 0.500 0.256 Sc
0.500 0.500 0.744 Sc
0.746 0.416 0.500 Sc
0.754 0.916 0.500 Sc
```


Stability summary - winner: 2; margin: 8.1 kJ/mol of atoms.


## 1
Here is a geometry-optimized Sm5HoSc2 structure from Alexandria. Energies are from GGA-PBE.

Geometry as POSCAR:
```
Sm5HoSc2
1.0
9.916 0.000 0.000
0.000 14.015 0.000
0.000 0.000 3.544
Sm Ho Sc
10 2 4
direct
0.000 0.000 0.000 Sm
0.001 0.251 0.000 Sm
0.248 0.624 0.500 Sm
0.252 0.124 0.500 Sm
0.499 0.751 0.000 Sm
0.500 0.500 0.000 Sm
0.501 0.249 0.000 Sm
0.748 0.876 0.500 Sm
0.752 0.376 0.500 Sm
0.999 0.749 0.000 Sm
0.000 0.500 0.000 Ho
0.500 0.000 0.000 Ho
0.249 0.376 0.500 Sc
0.251 0.876 0.500 Sc
0.749 0.124 0.500 Sc
0.751 0.624 0.500 Sc
```


## 2
Here is a geometry-optimized Sm5HoSc2 structure from Alexandria. Energies are from GGA-PBE.

Geometry as POSCAR:
```
Sm5HoSc2
1.0
-4.497 4.497 6.209
4.497 -4.497 6.209
4.497 4.497 -6.209
Sm Ho Sc
10 2 4
direct
0.000 0.000 0.000 Sm
0.010 0.510 0.201 Sm
0.191 0.990 0.500 Sm
0.309 0.809 0.799 Sm
0.490 0.691 0.500 Sm
0.500 0.500 0.000 Sm
0.510 0.309 0.500 Sm
0.691 0.191 0.201 Sm
0.809 0.010 0.500 Sm
0.990 0.490 0.799 Sm
0.250 0.250 0.000 Ho
0.750 0.750 0.000 Ho
0.147 0.353 0.500 Sc
0.353 0.853 0.206 Sc
0.647 0.147 0.794 Sc
0.853 0.647 0.500 Sc
```


Stability summary - winner: 1; margin: 8.1 kJ/mol of atoms.


## 1
Here is a geometry-optimized Sm3Ho4Sc2 structure from Alexandria. Energies are from GGA-PBE.

Geometry as POSCAR:
```
Sm3Ho4Sc2
1.0
8.388 -1.743 0.000
8.388 1.743 0.000
-1.710 0.000 9.390
Sm Ho Sc
3 4 2
direct
0.000 0.000 0.000 Sm
0.157 0.157 0.590 Sm
0.843 0.843 0.410 Sm
0.176 0.176 0.228 Ho
0.486 0.486 0.676 Ho
0.514 0.514 0.324 Ho
0.824 0.824 0.772 Ho
0.333 0.333 0.077 Sc
0.667 0.667 0.923 Sc
```


## 2
Here is a geometry-optimized Sm3Ho4Sc2 structure from Alexandria. Energies are from GGA-PBE.

Geometry as POSCAR:
```
Sm3Ho4Sc2
1.0
8.153 -5.715 0.000
8.153 5.715 0.000
-0.781 0.000 5.868
Sm Ho Sc
6 8 4
direct
0.098 0.902 0.750 Sm
0.215 0.446 0.927 Sm
0.446 0.215 0.427 Sm
0.554 0.785 0.573 Sm
0.785 0.554 0.073 Sm
0.902 0.098 0.250 Sm
0.089 0.332 0.369 Ho
0.313 0.584 0.480 Ho
0.332 0.089 0.869 Ho
0.416 0.687 0.020 Ho
0.584 0.313 0.980 Ho
0.668 0.911 0.131 Ho
0.687 0.416 0.520 Ho
0.911 0.668 0.631 Ho
0.028 0.753 0.180 Sc
0.247 0.972 0.320 Sc
0.753 0.028 0.680 Sc
0.972 0.247 0.820 Sc
```


Stability summary - winner: 1; margin: 7.0 kJ/mol of atoms.


## 1
Here is a geometry-optimized Sm6Ho4Sc structure from Alexandria. Energies are from GGA-PBE.

Geometry as POSCAR:
```
Sm6Ho4Sc
1.0
2.875 -4.792 0.000
2.875 4.792 0.000
0.000 0.000 25.626
Sm Ho Sc
12 8 2
direct
0.000 0.000 0.000 Sm
0.000 0.000 0.500 Sm
0.042 0.958 0.750 Sm
0.301 0.699 0.105 Sm
0.301 0.699 0.395 Sm
0.372 0.628 0.683 Sm
0.372 0.628 0.817 Sm
0.628 0.372 0.183 Sm
0.628 0.372 0.317 Sm
0.699 0.301 0.605 Sm
0.699 0.301 0.895 Sm
0.958 0.042 0.250 Sm
0.040 0.960 0.623 Ho
0.040 0.960 0.877 Ho
0.349 0.651 0.544 Ho
0.349 0.651 0.956 Ho
0.651 0.349 0.044 Ho
0.651 0.349 0.456 Ho
0.960 0.040 0.123 Ho
0.960 0.040 0.377 Ho
0.295 0.705 0.250 Sc
0.705 0.295 0.750 Sc
```


## 2
Here is a geometry-optimized Sm6Ho4Sc structure from Alexandria. Energies are from GGA-PBE.

Geometry as POSCAR:
```
Sm6Ho4Sc
1.0
-4.032 4.032 6.009
4.032 -4.032 6.009
4.032 4.032 -6.009
Sm Ho Sc
6 4 1
direct
0.000 0.500 0.500 Sm
0.041 0.041 0.640 Sm
0.401 0.401 0.360 Sm
0.500 0.000 0.500 Sm
0.599 0.959 0.000 Sm
0.959 0.599 0.000 Sm
0.108 0.108 0.340 Ho
0.232 0.892 0.000 Ho
0.768 0.768 0.660 Ho
0.892 0.232 0.000 Ho
0.500 0.500 0.000 Sc
```


Stability summary - winner: 1; margin: 35.5 kJ/mol of atoms.


## 1
Here is a geometry-optimized Sm4HoSc3 structure from Alexandria. Energies are from GGA-PBE.

Geometry as POSCAR:
```
Sm4HoSc3
1.0
11.058 0.000 0.000
0.000 7.120 0.000
0.000 0.000 6.103
Sm Ho Sc
8 2 6
direct
0.000 0.119 0.000 Sm
0.000 0.631 0.990 Sm
0.250 0.373 0.829 Sm
0.250 0.627 0.329 Sm
0.500 0.369 0.490 Sm
0.500 0.881 0.500 Sm
0.750 0.373 0.829 Sm
0.750 0.627 0.329 Sm
0.000 0.880 0.505 Ho
0.500 0.120 0.005 Ho
0.000 0.370 0.488 Sc
0.245 0.122 0.336 Sc
0.255 0.878 0.836 Sc
0.500 0.630 0.988 Sc
0.745 0.878 0.836 Sc
0.755 0.122 0.336 Sc
```


## 2
Here is a geometry-optimized Sm4HoSc3 structure from Alexandria. Energies are from GGA-PBE.

Geometry as POSCAR:
```
Sm4HoSc3
1.0
7.795 -2.824 0.000
7.795 2.824 0.000
-2.138 0.000 5.445
Sm Ho Sc
4 1 3
direct
0.129 0.129 0.081 Sm
0.252 0.252 0.696 Sm
0.748 0.748 0.304 Sm
0.871 0.871 0.919 Sm
0.000 0.000 0.500 Ho
0.377 0.377 0.332 Sc
0.500 0.500 0.000 Sc
0.623 0.623 0.668 Sc
```


Stability summary - winner: 1; margin: 8.5 kJ/mol of atoms.


## 1
Here is a geometry-optimized SmHo3Sc3 structure from Alexandria. Energies are from GGA-PBE.

Geometry as POSCAR:
```
SmHo3Sc3
1.0
4.155 2.399 6.964
-4.155 2.399 6.964
0.000 -4.798 6.964
Sm Ho Sc
2 6 6
direct
0.151 0.151 0.151 Sm
0.849 0.849 0.849 Sm
0.069 0.224 0.566 Ho
0.224 0.566 0.069 Ho
0.434 0.931 0.776 Ho
0.566 0.069 0.224 Ho
0.776 0.434 0.931 Ho
0.931 0.776 0.434 Ho
0.223 0.437 0.668 Sc
0.332 0.777 0.563 Sc
0.437 0.668 0.223 Sc
0.563 0.332 0.777 Sc
0.668 0.223 0.437 Sc
0.777 0.563 0.332 Sc
```


## 2
Here is a geometry-optimized SmHo3Sc3 structure from Alexandria. Energies are from GGA-PBE.

Geometry as POSCAR:
```
SmHo3Sc3
1.0
9.225 0.000 0.000
-4.613 7.989 0.000
0.000 0.000 5.449
Sm Ho Sc
2 6 6
direct
0.333 0.667 0.250 Sm
0.667 0.333 0.750 Sm
0.048 0.243 0.250 Ho
0.195 0.952 0.250 Ho
0.243 0.195 0.750 Ho
0.757 0.805 0.250 Ho
0.805 0.048 0.750 Ho
0.952 0.757 0.750 Ho
0.096 0.481 0.750 Sc
0.385 0.904 0.750 Sc
0.481 0.385 0.250 Sc
0.519 0.615 0.750 Sc
0.615 0.096 0.250 Sc
0.904 0.519 0.250 Sc
```


Stability summary - winner: 2; margin: 15.3 kJ/mol of atoms.


## 1
Here is a geometry-optimized Sm2Ho4Sc3 structure from Alexandria. Energies are from GGA-PBE.

Geometry as POSCAR:
```
Sm2Ho4Sc3
1.0
3.495 0.000 0.000
-1.747 3.027 0.000
0.000 0.000 25.357
Sm Ho Sc
2 4 3
direct
0.000 0.000 0.000 Sm
0.000 0.000 0.214 Sm
0.000 0.000 0.352 Ho
0.000 0.000 0.560 Ho
0.333 0.667 0.674 Ho
0.333 0.667 0.883 Ho
0.000 0.000 0.778 Sc
0.333 0.667 0.108 Sc
0.333 0.667 0.455 Sc
```


## 2
Here is a geometry-optimized Sm2Ho4Sc3 structure from Alexandria. Energies are from GGA-PBE.

Geometry as POSCAR:
```
Sm2Ho4Sc3
1.0
7.763 -5.657 0.000
7.763 5.657 0.000
-0.553 0.000 6.003
Sm Ho Sc
4 8 6
direct
0.026 0.738 0.677 Sm
0.262 0.974 0.823 Sm
0.738 0.026 0.177 Sm
0.974 0.262 0.323 Sm
0.077 0.355 0.844 Ho
0.311 0.590 0.990 Ho
0.355 0.077 0.344 Ho
0.410 0.689 0.510 Ho
0.590 0.311 0.490 Ho
0.645 0.923 0.656 Ho
0.689 0.410 0.010 Ho
0.923 0.645 0.156 Ho
0.101 0.899 0.250 Sc
0.234 0.434 0.413 Sc
0.434 0.234 0.913 Sc
0.566 0.766 0.087 Sc
0.766 0.566 0.587 Sc
0.899 0.101 0.750 Sc
```


Stability summary - winner: 1; margin: 4.7 kJ/mol of atoms.


## 1
Here is a geometry-optimized Sm3Ho3Sc2 structure from Alexandria. Energies are from GGA-PBE.

Geometry as POSCAR:
```
Sm3Ho3Sc2
1.0
4.953 0.000 0.000
0.000 4.981 0.000
0.000 0.000 9.803
Sm Ho Sc
3 3 2
direct
0.000 0.000 0.000 Sm
0.000 0.000 0.500 Sm
0.500 0.500 0.000 Sm
0.000 0.500 0.251 Ho
0.000 0.500 0.749 Ho
0.500 0.500 0.500 Ho
0.500 0.000 0.252 Sc
0.500 0.000 0.748 Sc
```


## 2
Here is a geometry-optimized Sm3Ho3Sc2 structure from Alexandria. Energies are from GGA-PBE.

Geometry as POSCAR:
```
Sm3Ho3Sc2
1.0
8.373 -2.729 0.000
8.373 2.729 0.000
-1.804 0.000 5.362
Sm Ho Sc
3 3 2
direct
0.000 0.000 0.000 Sm
0.140 0.140 0.689 Sm
0.860 0.860 0.311 Sm
0.361 0.361 0.901 Ho
0.500 0.500 0.500 Ho
0.639 0.639 0.099 Ho
0.250 0.250 0.310 Sc
0.750 0.750 0.690 Sc
```


Stability summary - winner: 1; margin: 3.8 kJ/mol of atoms.